Ti2ZnCd | PBE-GGA | relaxed

Computed properties:
* total magnetic moment: 3.71 μB per cell
* energy of formation: 0.4 eV per formula unit
* E: -4.389 eV per atom
* excess energy over the best structure of this formula in the dataset: 0.187 eV per atom

The structure in POSCAR format:
```
Ti2ZnCd
1.0
-3.196 3.268 0.832
-3.839 -1.061 2.392
-0.576 1.641 4.316
Cd Zn Ti
1 1 2
Direct
0.500 0.500 0.500
0.750 0.750 0.750
0.000 0.000 0.000
0.250 0.250 0.249
```